# Tl12Cd3Au5 (GGA-PBE, relaxed)
# Formation energy from the elements = 0.137 eV per atom
# DOS(E_F) = 0.60 states/eV per atom
# Crystal system = cubic
data_Tl12Cd3Au5
_cell_length_a 17.286
_cell_length_b 17.286
_cell_length_c 17.286
_cell_angle_alpha 90.00
_cell_angle_beta 90.00
_cell_angle_gamma 90.00
_space_group_name_H-M_alt 'I a -3 d'
_space_group_IT_number 230
_space_group_name_Hall '-I 4bd 2c 3'
loop_
_atom_site_label
_atom_site_fract_x
_atom_site_fract_y
_atom_site_fract_z
_atom_site_occupancy
Tl1 0.027 0.076 0.647 1
Cd1 0.000 0.250 0.125 1
Au1 0.000 0.000 0.000 1
Au2 0.000 0.250 0.375 1

# MnRh2Cl (GGA-PBE, relaxed)
# Excess energy over the best structure of this formula in the dataset = 255 meV/atom
# DOS(E_F) = 0.95 states/eV per atom
# Crystal system = orthorhombic
data_MnRh2Cl
_cell_length_a 2.878
_cell_length_b 4.406
_cell_length_c 4.789
_cell_angle_alpha 90.00
_cell_angle_beta 90.00
_cell_angle_gamma 90.00
_space_group_name_H-M_alt 'P m m m'
_space_group_IT_number 47
loop_
_space_group_symop_operation_xyz
'x,y,z'
'-x,-y,-z'
'-x,-y,z'
'x,y,-z'
'x,-y,-z'
'-x,y,z'
'-x,y,-z'
'x,-y,z'
loop_
_atom_site_label
_atom_site_fract_x
_atom_site_fract_y
_atom_site_fract_z
_atom_site_occupancy
Mn1 0.000 0.000 0.000 1
Rh1 0.000 0.500 0.500 1
Rh2 0.500 0.500 0.000 1
Cl1 0.500 0.000 0.500 1

# AcTmGe2 (GGA-PBE, relaxed)
# Formation energy from the elements = -0.620 eV per atom
# DOS(E_F) = 0.79 states/eV per atom
# Crystal system = tetragonal
data_AcTmGe2
_cell_length_a 3.860
_cell_length_b 3.860
_cell_length_c 6.783
_cell_angle_alpha 90.00
_cell_angle_beta 90.00
_cell_angle_gamma 90.00
_space_group_name_H-M_alt 'P 4/m m m'
_space_group_IT_number 123
_space_group_name_Hall '-P 4 2'
loop_
_atom_site_label
_atom_site_fract_x
_atom_site_fract_y
_atom_site_fract_z
_atom_site_occupancy
Ac1 0.000 0.000 0.000 1
Tm1 0.000 0.000 0.500 1
Ge1 0.500 0.500 0.303 1

# LaIn12Pd6 (GGA-PBE, relaxed)
# Formation energy from the elements = -0.362 eV per atom
# DOS(E_F) = 0.51 states/eV per atom
# Crystal system = trigonal
data_LaIn12Pd6
_cell_length_a 12.5001
_cell_length_b 12.5001
_cell_length_c 9.4488
_cell_angle_alpha 90.00
_cell_angle_beta 90.00
_cell_angle_gamma 120.00
_space_group_name_H-M_alt 'R -3 m'
_space_group_IT_number 166
_space_group_name_Hall '-R 3 2"'
loop_
_atom_site_label
_atom_site_fract_x
_atom_site_fract_y
_atom_site_fract_z
_atom_site_occupancy
La1 0.0000 0.0000 0.0000 1
In1 0.0000 0.3837 0.5000 1
In2 0.0845 0.1690 0.3199 1
Pd1 0.0482 0.5241 0.2443 1

# Ho5BiP6 (GGA-PBE, relaxed)
# Formation energy from the elements = -1.275 eV per atom
# DOS(E_F) = 0.06 states/eV per atom
# Crystal system = monoclinic
data_Ho5BiP6
_cell_length_a 6.969
_cell_length_b 12.076
_cell_length_c 6.965
_cell_angle_alpha 90.00
_cell_angle_beta 109.49
_cell_angle_gamma 90.00
_space_group_name_H-M_alt 'C 1 2/m 1'
_space_group_IT_number 12
loop_
_space_group_symop_operation_xyz
'x,y,z'
'-x,-y,-z'
'-x,y,-z'
'x,-y,z'
'x+1/2,y+1/2,z'
'-x+1/2,-y+1/2,-z'
'-x+1/2,y+1/2,-z'
'x+1/2,-y+1/2,z'
loop_
_atom_site_label
_atom_site_fract_x
_atom_site_fract_y
_atom_site_fract_z
_atom_site_occupancy
Ho1 0.000 0.000 0.000 1
Ho2 0.000 0.167 0.500 1
Ho3 0.000 0.335 0.000 1
Bi1 0.000 0.500 0.500 1
P1 0.245 0.000 0.755 1
P2 0.245 0.170 0.247 1

# InAsSeN2 (GGA-PBE, relaxed)
# Excess energy over the best structure of this formula in the dataset = 0 meV/atom
# DOS(E_F) = 0.27 states/eV per atom
# Crystal system = tetragonal
data_InAsSeN2
_cell_length_a 3.825
_cell_length_b 3.825
_cell_length_c 5.941
_cell_angle_alpha 90.00
_cell_angle_beta 90.00
_cell_angle_gamma 90.00
_space_group_name_H-M_alt 'P 4/m m m'
_space_group_IT_number 123
_space_group_name_Hall '-P 4 2'
loop_
_atom_site_label
_atom_site_fract_x
_atom_site_fract_y
_atom_site_fract_z
_atom_site_occupancy
In1 0.000 0.000 0.000 1
As1 0.500 0.500 0.500 1
Se1 0.500 0.500 0.000 1
N1 0.000 0.500 0.500 1

# Be4CoSi (GGA-PBE, relaxed)
# DOS(E_F) = 0.23 states/eV per atom
# Crystal system = cubic
data_Be4CoSi
_cell_length_a 5.897
_cell_length_b 5.897
_cell_length_c 5.897
_cell_angle_alpha 90.00
_cell_angle_beta 90.00
_cell_angle_gamma 90.00
_space_group_name_H-M_alt 'F -4 3 m'
_space_group_IT_number 216
_space_group_name_Hall 'F -4 2 3'
loop_
_atom_site_label
_atom_site_fract_x
_atom_site_fract_y
_atom_site_fract_z
_atom_site_occupancy
Be1 0.124 0.124 0.124 1
Co1 0.250 0.250 0.750 1
Si1 0.000 0.000 0.500 1

# Pr2ErCrS6 (GGA-PBE, relaxed)
# Crystal system = monoclinic
data_Pr2ErCrS6
_cell_length_a 6.521
_cell_length_b 7.143
_cell_length_c 11.445
_cell_angle_alpha 90.00
_cell_angle_beta 123.16
_cell_angle_gamma 90.00
_space_group_name_H-M_alt 'P 1 21/c 1'
_space_group_IT_number 14
loop_
_space_group_symop_operation_xyz
'x,y,z'
'-x,-y,-z'
'-x,y+1/2,-z+1/2'
'x,-y+1/2,z+1/2'
loop_
_atom_site_label
_atom_site_fract_x
_atom_site_fract_y
_atom_site_fract_z
_atom_site_occupancy
Pr1 0.209 0.096 0.247 1
Er1 0.500 0.000 0.000 1
Cr1 0.000 0.000 0.500 1
S1 0.108 0.201 0.940 1
S2 0.248 0.678 0.942 1
S3 0.357 0.032 0.735 1

| no. | VASP energy (eV/cell) |
| --- | --- |
| 1 | -358.33 |
| 2 | -24.40 |
| 3 | -20.29 |
| 4 | -227.44 |
| 5 | -149.07 |
| 6 | -22.32 |
| 7 | -114.83 |
| 8 | -131.10 |